Record 1
{
  "formula": "BeSbAs2",
  "functional": "GGA-PBEsol",
  "state": "optimized geometry",
  "energy_ev_per_cell": -17.85,
  "mass_density_g_cm3": 5.9,
  "spacegroup": "P4mm",
  "lattice_angstrom": [[-2.124, 1.190, 1.750], [-0.831, -2.749, 0.862], [5.731, 0.370, 6.705]],
  "species": ["Sb", "As", "As", "Be"],
  "frac_coords": [[0.500, 0.500, 0.731], [0.000, 0.000, 0.049], [0.500, 0.500, 0.423], [0.000, 0.000, 0.298]]
}

Record 2
{
  "formula": "SrMnAg2Bi",
  "functional": "GGA-PBEsol",
  "state": "optimized geometry",
  "formation_enthalpy_0k_ev_per_atom": 0.52,
  "energy_ev_per_cell": -19.92,
  "mass_density_g_cm3": 6.5,
  "spacegroup": "P4/mmm",
  "lattice_angstrom": [[5.063, 0.000, 0.000], [0.000, 5.362, 0.000], [0.000, 0.000, 5.362]],
  "species": ["Sr", "Mn", "Bi", "Ag", "Ag"],
  "frac_coords": [[0.500, 0.500, 0.500], [0.500, 0.000, 0.000], [0.000, 0.000, 0.000], [0.000, 0.000, 0.500], [0.000, 0.500, 0.000]]
}

Record 3
{
  "formula": "CrFe2Mo",
  "functional": "GGA-PBEsol",
  "state": "optimized geometry",
  "formation_enthalpy_0k_ev_per_atom": 0.16,
  "energy_ev_per_cell": -39.29,
  "mass_density_g_cm3": 9.0,
  "spacegroup": "Cmmm",
  "lattice_angstrom": [[2.506, 0.003, 0.000], [-0.702, 2.405, 0.000], [0.000, 0.000, 7.973]],
  "species": ["Cr", "Fe", "Fe", "Mo"],
  "frac_coords": [[0.500, 0.500, 0.000], [0.000, 0.000, 0.235], [0.000, 0.000, 0.765], [0.500, 0.500, 0.500]]
}

Record 4
{
  "formula": "NiTeAu",
  "functional": "GGA-PBEsol",
  "state": "optimized geometry",
  "energy_ev_per_cell": -13.40,
  "mass_density_g_cm3": 11.4,
  "spacegroup": "P3m1",
  "lattice_angstrom": [[3.704, 0.000, 0.000], [-1.852, 3.208, 0.000], [0.000, 0.000, 4.707]],
  "species": ["Au", "Ni", "Te"],
  "frac_coords": [[0.000, 0.000, 0.958], [0.667, 0.333, 0.659], [0.333, 0.667, 0.384]]
}

Record 5
{
  "formula": "MnTl2Br",
  "functional": "GGA-PBEsol",
  "state": "optimized geometry",
  "energy_ev_per_cell": -15.71,
  "mass_density_g_cm3": 8.8,
  "spacegroup": "I-4m2",
  "lattice_angstrom": [[4.339, 0.000, 0.000], [0.000, 4.339, 0.000], [-2.169, -2.169, 5.423]],
  "species": ["Br", "Mn", "Tl", "Tl"],
  "frac_coords": [[0.500, 0.500, 0.000], [0.250, 0.750, 0.500], [0.000, 0.000, 0.000], [0.750, 0.250, 0.500]]
}

Record 6
{
  "formula": "VAgO3",
  "functional": "GGA-PBEsol",
  "state": "optimized geometry",
  "energy_ev_per_cell": -147.52,
  "mass_density_g_cm3": 4.8,
  "spacegroup": "C2/c",
  "lattice_angstrom": [[5.740, 0.458, 0.439], [1.548, 7.152, 0.013], [1.548, 0.309, 7.145]],
  "species": ["V", "V", "V", "V", "Ag", "Ag", "Ag", "Ag", "O", "O", "O", "O", "O", "O", "O", "O", "O", "O", "O", "O"],
  "frac_coords": [[0.234, 0.736, 0.905], [0.734, 0.905, 0.736], [0.766, 0.264, 0.095], [0.266, 0.095, 0.264], [0.250, 0.272, 0.728], [0.750, 0.418, 0.582], [0.250, 0.582, 0.418], [0.750, 0.728, 0.272], [0.362, 0.885, 0.367], [0.521, 0.162, 0.094], [0.479, 0.838, 0.906], [0.021, 0.094, 0.162], [0.356, 0.570, 0.733], [0.644, 0.430, 0.267], [0.856, 0.733, 0.570], [0.638, 0.115, 0.633], [0.144, 0.267, 0.430], [0.138, 0.633, 0.115], [0.979, 0.906, 0.838], [0.862, 0.367, 0.885]]
}

Record 7
{
  "formula": "Li3Ag",
  "functional": "GGA-PBEsol",
  "state": "optimized geometry",
  "formation_enthalpy_0k_ev_per_atom": -0.13,
  "energy_ev_per_cell": -9.72,
  "mass_density_g_cm3": 3.3,
  "spacegroup": "I4/mmm",
  "lattice_angstrom": [[-3.007, -0.943, 2.742], [4.365, -1.423, 1.114], [1.976, 2.225, 2.932]],
  "species": ["Ag", "Li", "Li", "Li"],
  "frac_coords": [[0.000, 0.000, 0.000], [0.250, 0.500, 0.250], [0.750, 0.500, 0.750], [0.500, 0.000, 0.500]]
}

Record 8
{
  "formula": "Sc4Cd3",
  "functional": "GGA-PBEsol",
  "state": "optimized geometry",
  "formation_enthalpy_0k_ev_per_atom": -0.20,
  "energy_ev_per_cell": -31.39,
  "mass_density_g_cm3": 5.7,
  "spacegroup": "I4/mmm",
  "lattice_angstrom": [[3.192, 0.000, 0.000], [0.000, 3.192, 0.000], [-1.596, -1.596, 14.909]],
  "species": ["Cd", "Cd", "Cd", "Sc", "Sc", "Sc", "Sc"],
  "frac_coords": [[0.000, 0.000, 0.000], [0.283, 0.283, 0.566], [0.717, 0.717, 0.434], [0.147, 0.147, 0.294], [0.430, 0.430, 0.861], [0.570, 0.570, 0.139], [0.853, 0.853, 0.706]]
}

Record 9
{
  "formula": "Hg2PbS2Br2",
  "functional": "GGA-PBEsol",
  "state": "optimized geometry",
  "energy_ev_per_cell": -83.37,
  "mass_density_g_cm3": 7.1,
  "spacegroup": "P2_1/c",
  "lattice_angstrom": [[7.980, 0.000, 0.000], [0.000, 9.446, 0.932], [0.000, -3.670, 9.990]],
  "species": ["Hg", "Hg", "Hg", "Hg", "Hg", "Hg", "Hg", "Hg", "Pb", "Pb", "Pb", "Pb", "S", "S", "S", "S", "S", "S", "S", "S", "Br", "Br", "Br", "Br", "Br", "Br", "Br", "Br"],
  "frac_coords": [[0.812, 0.965, 0.383], [0.049, 0.631, 0.388], [0.951, 0.369, 0.612], [0.688, 0.465, 0.883], [0.312, 0.535, 0.117], [0.451, 0.131, 0.888], [0.188, 0.035, 0.617], [0.549, 0.869, 0.112], [0.080, 0.774, 0.914], [0.580, 0.726, 0.586], [0.920, 0.226, 0.086], [0.420, 0.274, 0.414], [0.916, 0.832, 0.529], [0.821, 0.583, 0.737], [0.084, 0.168, 0.471], [0.416, 0.668, 0.971], [0.321, 0.917, 0.763], [0.179, 0.417, 0.263], [0.584, 0.332, 0.029], [0.679, 0.083, 0.237], [0.692, 0.470, 0.378], [0.896, 0.682, 0.121], [0.604, 0.182, 0.621], [0.308, 0.530, 0.622], [0.192, 0.030, 0.122], [0.808, 0.970, 0.878], [0.104, 0.318, 0.879], [0.396, 0.818, 0.379]]
}

Record 10
{
  "formula": "MnTl2Ir",
  "functional": "GGA-PBEsol",
  "state": "optimized geometry",
  "formation_enthalpy_0k_ev_per_atom": 0.33,
  "energy_ev_per_cell": -23.52,
  "mass_density_g_cm3": 13.8,
  "spacegroup": "P4mm",
  "lattice_angstrom": [[-1.706, 2.515, -0.346], [-1.253, -1.197, -2.520], [-6.103, -3.494, 4.694]],
  "species": ["Ir", "Mn", "Tl", "Tl"],
  "frac_coords": [[0.000, 0.000, 0.547], [0.500, 0.500, 0.702], [0.000, 0.000, 0.953], [0.500, 0.500, 0.297]]
}

Record 11
{
  "formula": "Ba2Sr6Ti7MnO22",
  "functional": "GGA-PBEsol",
  "state": "optimized geometry",
  "energy_ev_per_cell": -313.40,
  "mass_density_g_cm3": 5.4,
  "spacegroup": "Cmm2",
  "lattice_angstrom": [[-5.003, 5.985, 0.005], [-0.705, -0.582, -7.776], [-5.963, -4.985, 0.940]],
  "species": ["Ba", "Ba", "Sr", "Sr", "Sr", "Sr", "Sr", "Sr", "Ti", "Ti", "Ti", "Ti", "Ti", "Ti", "Ti", "Mn", "O", "O", "O", "O", "O", "O", "O", "O", "O", "O", "O", "O", "O", "O", "O", "O", "O", "O", "O", "O", "O", "O"],
  "frac_coords": [[0.752, 0.752, 0.752], [0.752, 0.248, 0.248], [0.247, 0.744, 0.744], [0.247, 0.256, 0.744], [0.753, 0.257, 0.743], [0.247, 0.744, 0.256], [0.247, 0.256, 0.256], [0.753, 0.743, 0.257], [0.004, 0.500, 0.000], [0.487, 0.000, 0.000], [0.497, 0.500, 0.000], [0.004, 0.000, 0.500], [0.001, 0.500, 0.500], [0.497, 0.000, 0.500], [0.499, 0.500, 0.500], [0.012, 0.000, 0.000], [0.009, 0.002, 0.757], [0.003, 0.498, 0.750], [0.491, 0.002, 0.755], [0.497, 0.498, 0.750], [0.009, 0.998, 0.243], [0.003, 0.502, 0.250], [0.491, 0.998, 0.245], [0.497, 0.502, 0.250], [0.251, 0.500, 0.000], [0.749, 0.500, 0.000], [0.251, 0.000, 0.500], [0.250, 0.500, 0.500], [0.749, 0.000, 0.500], [0.750, 0.500, 0.500], [0.009, 0.757, 0.002], [0.009, 0.243, 0.998], [0.491, 0.755, 0.002], [0.491, 0.245, 0.998], [0.003, 0.750, 0.498], [0.003, 0.250, 0.502], [0.497, 0.750, 0.498], [0.497, 0.250, 0.502]]
}

Record 12
{
  "formula": "TlReAg",
  "functional": "GGA-PBEsol",
  "state": "optimized geometry",
  "formation_enthalpy_0k_ev_per_atom": 1.00,
  "energy_ev_per_cell": -16.28,
  "mass_density_g_cm3": 15.7,
  "spacegroup": "Imm2",
  "lattice_angstrom": [[2.785, 0.000, 0.000], [0.000, 4.287, 0.000], [-1.393, -2.144, 4.423]],
  "species": ["Re", "Tl", "Ag"],
  "frac_coords": [[0.660, 0.660, 0.320], [0.332, 0.332, 0.665], [0.008, 0.008, 0.015]]
}

Record 13
{
  "formula": "Li2VF6",
  "functional": "GGA-PBEsol",
  "state": "optimized geometry",
  "energy_ev_per_cell": -51.48,
  "mass_density_g_cm3": 3.3,
  "spacegroup": "P-31m",
  "lattice_angstrom": [[-3.639, -1.679, -1.783], [2.704, -2.758, -2.922], [-1.354, -1.672, 4.339]],
  "species": ["F", "F", "F", "F", "F", "F", "Li", "Li", "V"],
  "frac_coords": [[0.755, 0.000, 0.688], [0.245, 0.688, 0.688], [0.245, 0.312, 0.000], [0.755, 0.688, 0.000], [0.755, 0.312, 0.312], [0.245, 0.000, 0.312], [0.500, 0.667, 0.333], [0.500, 0.333, 0.667], [0.000, 0.000, 0.000]]
}

Record 14
{
  "formula": "Cs3SrMg",
  "functional": "GGA-PBEsol",
  "state": "optimized geometry",
  "formation_enthalpy_0k_ev_per_atom": 0.33,
  "energy_ev_per_cell": -4.74,
  "mass_density_g_cm3": 2.0,
  "spacegroup": "Pm-3m",
  "lattice_angstrom": [[7.463, 0.000, 0.000], [0.000, 7.463, 0.000], [0.000, 0.000, 7.463]],
  "species": ["Cs", "Cs", "Cs", "Sr", "Mg"],
  "frac_coords": [[0.000, 0.500, 0.000], [0.000, 0.000, 0.500], [0.500, 0.000, 0.000], [0.500, 0.500, 0.500], [0.000, 0.000, 0.000]]
}

Record 15
{
  "formula": "Tl2FeCu3Te4",
  "functional": "GGA-PBEsol",
  "state": "optimized geometry",
  "energy_ev_per_cell": -42.12,
  "mass_density_g_cm3": 8.2,
  "spacegroup": "C222",
  "lattice_angstrom": [[-0.307, -3.671, 4.197], [4.959, 1.723, 1.870], [-3.269, 7.028, 2.193]],
  "species": ["Tl", "Tl", "Fe", "Cu", "Cu", "Cu", "Te", "Te", "Te", "Te"],
  "frac_coords": [[0.500, 0.249, 0.500], [0.000, 0.751, 0.500], [0.000, 0.000, 0.000], [0.500, 0.500, 0.000], [0.500, 0.000, 0.000], [0.000, 0.500, 0.000], [0.358, 0.754, 0.224], [0.866, 0.246, 0.224], [0.134, 0.246, 0.776], [0.642, 0.754, 0.776]]
}

Record 16
{
  "formula": "CuSbP",
  "functional": "GGA-PBEsol",
  "state": "optimized geometry",
  "energy_ev_per_cell": -26.30,
  "mass_density_g_cm3": 6.9,
  "spacegroup": "P6_3/mmc",
  "lattice_angstrom": [[-3.293, 1.904, 2.799], [-1.045, -3.765, -2.653], [1.526, -3.245, 4.003]],
  "species": ["Cu", "Cu", "P", "P", "Sb", "Sb"],
  "frac_coords": [[0.333, 0.667, 0.250], [0.667, 0.333, 0.750], [0.000, 0.000, 0.000], [0.000, 0.000, 0.500], [0.333, 0.667, 0.750], [0.667, 0.333, 0.250]]
}

Record 17
{
  "formula": "HfBe2Si",
  "functional": "GGA-PBEsol",
  "state": "optimized geometry",
  "energy_ev_per_cell": -46.86,
  "mass_density_g_cm3": 6.5,
  "spacegroup": "I4_1/amd",
  "lattice_angstrom": [[-1.688, 0.512, -3.491], [-3.526, -0.123, 1.688], [2.822, 7.266, 1.893]],
  "species": ["Be", "Be", "Be", "Be", "Si", "Si", "Hf", "Hf"],
  "frac_coords": [[0.625, 0.375, 0.750], [0.125, 0.375, 0.750], [0.625, 0.875, 0.250], [0.625, 0.375, 0.250], [0.500, 0.500, 0.000], [0.750, 0.250, 0.500], [0.000, 0.000, 0.000], [0.250, 0.750, 0.500]]
}

Record 18
{
  "formula": "CdNi6Mo",
  "functional": "GGA-PBEsol",
  "state": "optimized geometry",
  "formation_enthalpy_0k_ev_per_atom": -0.02,
  "energy_ev_per_cell": -200.35,
  "mass_density_g_cm3": 9.8,
  "spacegroup": "Cmmm",
  "lattice_angstrom": [[-4.574, 4.006, -1.502], [1.813, -3.119, -5.119], [-6.993, -7.255, 1.944]],
  "species": ["Cd", "Cd", "Cd", "Cd", "Mo", "Mo", "Mo", "Mo", "Ni", "Ni", "Ni", "Ni", "Ni", "Ni", "Ni", "Ni", "Ni", "Ni", "Ni", "Ni", "Ni", "Ni", "Ni", "Ni", "Ni", "Ni", "Ni", "Ni", "Ni", "Ni", "Ni", "Ni"],
  "frac_coords": [[0.246, 0.754, 0.500], [0.754, 0.246, 0.500], [0.000, 0.000, 0.751], [0.000, 0.000, 0.249], [0.252, 0.748, 0.000], [0.748, 0.252, 0.000], [0.500, 0.500, 0.744], [0.500, 0.500, 0.256], [0.255, 0.745, 0.759], [0.871, 0.616, 0.880], [0.129, 0.384, 0.880], [0.745, 0.255, 0.759], [0.384, 0.129, 0.880], [0.616, 0.871, 0.880], [0.500, 0.500, 0.500], [0.137, 0.382, 0.631], [0.382, 0.137, 0.631], [0.255, 0.745, 0.241], [0.863, 0.618, 0.369], [0.137, 0.382, 0.369], [0.745, 0.255, 0.241], [0.382, 0.137, 0.369], [0.618, 0.863, 0.369], [0.500, 0.500, 0.000], [0.129, 0.384, 0.120], [0.384, 0.129, 0.120], [0.000, 0.000, 0.500], [0.618, 0.863, 0.631], [0.863, 0.618, 0.631], [0.000, 0.000, 0.000], [0.616, 0.871, 0.120], [0.871, 0.616, 0.120]]
}

Record 19
{
  "formula": "IrPb2Au",
  "functional": "GGA-PBEsol",
  "state": "optimized geometry",
  "formation_enthalpy_0k_ev_per_atom": 0.31,
  "energy_ev_per_cell": -20.52,
  "mass_density_g_cm3": 15.7,
  "spacegroup": "Imm2",
  "lattice_angstrom": [[3.150, 0.000, 0.000], [0.000, 4.921, 0.000], [-1.575, -2.460, 5.473]],
  "species": ["Au", "Ir", "Pb", "Pb"],
  "frac_coords": [[0.536, 0.536, 0.071], [0.243, 0.743, 0.487], [0.963, 0.963, 0.927], [0.758, 0.258, 0.515]]
}

Record 20
{
  "formula": "Zr2TeRh",
  "functional": "GGA-PBEsol",
  "state": "optimized geometry",
  "energy_ev_per_cell": -31.90,
  "mass_density_g_cm3": 9.1,
  "spacegroup": "P4/mmm",
  "lattice_angstrom": [[-1.563, 3.329, -2.265], [0.295, -2.248, -3.508], [-3.883, -1.424, 0.586]],
  "species": ["Rh", "Te", "Zr", "Zr"],
  "frac_coords": [[0.500, 0.500, 0.500], [0.500, 0.000, 0.000], [0.000, 0.000, 0.500], [0.000, 0.500, 0.000]]
}

Record 21
{
  "formula": "CdSeI2",
  "functional": "GGA-PBEsol",
  "state": "optimized geometry",
  "energy_ev_per_cell": -15.79,
  "mass_density_g_cm3": 6.1,
  "spacegroup": "I-42d",
  "lattice_angstrom": [[6.812, 0.192, -0.327], [-2.167, 6.461, 0.327], [2.167, 3.434, 5.482]],
  "species": ["I", "I", "I", "I", "Se", "Se", "Cd", "Cd"],
  "frac_coords": [[0.973, 0.348, 0.125], [0.027, 0.902, 0.625], [0.473, 0.125, 0.902], [0.527, 0.625, 0.348], [0.500, 0.750, 0.750], [0.000, 0.500, 0.500], [0.500, 0.250, 0.250], [0.000, 0.000, 0.000]]
}

Record 22
{
  "formula": "MgMn4Cu3O12",
  "functional": "GGA-PBEsol",
  "state": "optimized geometry",
  "energy_ev_per_cell": -145.07,
  "mass_density_g_cm3": 5.8,
  "spacegroup": "Im-3",
  "lattice_angstrom": [[6.153, 0.000, 0.000], [-2.051, 5.801, 0.000], [-2.051, -2.901, 5.024]],
  "species": ["Mg", "Mn", "Mn", "Mn", "Mn", "Cu", "Cu", "Cu", "O", "O", "O", "O", "O", "O", "O", "O", "O", "O", "O", "O"],
  "frac_coords": [[0.000, 0.000, 0.000], [0.000, 0.000, 0.500], [0.500, 0.500, 0.500], [0.500, 0.000, 0.000], [0.000, 0.500, 0.000], [0.500, 0.000, 0.500], [0.500, 0.500, 0.000], [0.000, 0.500, 0.500], [0.700, 0.524, 0.823], [0.300, 0.476, 0.177], [0.300, 0.123, 0.823], [0.524, 0.823, 0.700], [0.823, 0.300, 0.123], [0.177, 0.300, 0.476], [0.123, 0.823, 0.300], [0.177, 0.700, 0.877], [0.700, 0.877, 0.177], [0.476, 0.177, 0.300], [0.823, 0.700, 0.524], [0.877, 0.177, 0.700]]
}